Entry 1:
Here is a relaxed structure of AlS2ClO from the Alexandria database. Energies are from GGA-PBE.

```
AlS2ClO
1.0
4.663 0.000 0.000
0.000 4.663 0.000
0.000 0.000 4.658
Al S Cl O
1 2 1 1
Direct
0.000 0.000 0.000 Al
0.000 0.500 0.000 S
0.500 0.000 0.000 S
0.000 0.000 0.500 Cl
0.500 0.500 0.500 O
```

Computed properties:
As for the space group: P4/mmm, No. 123. For the total DFT energy (no corrections), the calculation gives -3.37 eV/atom. Its density of states at the Fermi level is 0.89 states/eV per atom. The calculation puts the formation energy (no corrections) at 9.07 kcal/mol of atoms. The calculation puts the energy relative to the lowest polymorph listed for this composition at 63.6 meV/atom.

Entry 2:
Here is a relaxed structure of AlS2ClO from the Alexandria database. Energies are from GGA-PBE.

```
AlS2ClO
1.0
3.891 0.000 0.000
0.000 3.891 0.000
0.000 0.000 5.741
Al S Cl O
1 2 1 1
Direct
0.000 0.000 0.000 Al
0.000 0.500 0.500 S
0.500 0.000 0.500 S
0.500 0.500 0.000 Cl
0.500 0.500 0.500 O
```

Computed properties:
As for the space group: P4/mmm, No. 123. For the total DFT energy (no corrections), the calculation gives -3.43 eV/atom. Its density of states at the Fermi level is 0.59 states/eV per atom. The calculation puts the formation energy (no corrections) at 7.60 kcal/mol of atoms. The calculation puts the energy relative to the lowest polymorph listed for this composition at 0.0 meV/atom.

Entry 3:
Here is a relaxed structure of AlSbClO2 from the Alexandria database. Energies are from GGA-PBE.

```
AlSbClO2
1.0
3.752 0.000 0.000
0.000 3.752 0.000
0.000 0.000 5.848
Al Sb Cl O
1 1 1 2
Direct
0.000 0.000 0.000 Al
0.000 0.000 0.500 Sb
0.500 0.500 0.500 Cl
0.000 0.500 0.000 O
0.500 0.000 0.000 O
```

Computed properties:
As for the space group: P4/mmm, No. 123. For the total DFT energy (no corrections), the calculation gives -4.78 eV/atom. Its density of states at the Fermi level is 0.55 states/eV per atom. The calculation puts the formation energy (no corrections) at -19.59 kcal/mol of atoms.

Entry 4:
Here is a relaxed structure of AlSb3Se2ClO8 from the Alexandria database. Energies are from GGA-PBE.

```
AlSb3Se2ClO8
1.0
7.871 0.000 0.000
0.000 9.327 0.000
0.000 0.000 7.037
Al Sb Se Cl O
2 6 4 2 16
Direct
0.000 0.000 0.000 Al
0.500 0.500 0.328 Al
0.000 0.000 0.494 Sb
0.230 0.235 0.675 Sb
0.230 0.765 0.675 Sb
0.500 0.500 0.749 Sb
0.770 0.235 0.675 Sb
0.770 0.765 0.675 Sb
0.000 0.316 0.227 Se
0.000 0.684 0.227 Se
0.500 0.187 0.111 Se
0.500 0.813 0.111 Se
0.000 0.500 0.761 Cl
0.500 0.000 0.578 Cl
0.000 0.123 0.207 O
0.000 0.150 0.831 O
0.000 0.850 0.831 O
0.000 0.877 0.207 O
0.172 0.334 0.373 O
0.172 0.666 0.373 O
0.325 0.164 0.965 O
0.325 0.836 0.965 O
0.500 0.363 0.519 O
0.500 0.373 0.130 O
0.500 0.627 0.130 O
0.500 0.637 0.519 O
0.675 0.164 0.965 O
0.675 0.836 0.965 O
0.828 0.334 0.373 O
0.828 0.666 0.373 O
```

Computed properties:
As for the space group: Pmm2, No. 25. For the total DFT energy (no corrections), the calculation gives -5.28 eV/atom. Its density of states at the Fermi level is 0.18 states/eV per atom. The calculation puts the formation energy (no corrections) at -22.45 kcal/mol of atoms.